Entry 1:
Below is a relaxed structure of YZnS2, with properties calculated at the PBEsol level.

Computed properties:
E, hartree per atom: -0.1969
Total magnetization, μB/atom: 0.136
ΔE_f (raw), eV per atom: -1.065
DOS at the Fermi energy, states/eV per atom: 0.70

Cell lengths 5.913, 5.913, 10.695 Å; angles 90.00, 90.00, 90.00 degrees
Positions (direct):
Y 0.000 0.000 0.000
Y 0.000 0.500 0.250
Y 0.500 0.000 0.750
Y 0.500 0.500 0.500
Zn 0.000 0.000 0.500
Zn 0.000 0.500 0.750
Zn 0.500 0.000 0.250
Zn 0.500 0.500 0.000
S 0.207 0.250 0.625
S 0.250 0.707 0.875
S 0.250 0.793 0.375
S 0.293 0.250 0.125
S 0.707 0.750 0.125
S 0.750 0.207 0.375
S 0.750 0.293 0.875
S 0.793 0.750 0.625

***

Entry 2:
Below is a relaxed structure of Y2ZnS4, with properties calculated at the PBEsol level.

Computed properties:
E, hartree per atom: -0.2342
Total magnetization, μB/atom: 0.000
ΔE_f (raw), eV per atom: -1.694
E above lowest polymorph, eV/atom: 0.0322

Cell lengths 7.682, 7.682, 7.682 Å; angles 60.00, 60.00, 60.00 degrees
Positions (direct):
Y 0.000 0.000 0.000
Y 0.000 0.000 0.500
Y 0.000 0.500 0.000
Y 0.500 0.000 0.000
Zn 0.375 0.375 0.375
Zn 0.625 0.625 0.625
S 0.247 0.751 0.751
S 0.249 0.249 0.249
S 0.249 0.249 0.753
S 0.249 0.753 0.249
S 0.751 0.247 0.751
S 0.751 0.751 0.247
S 0.751 0.751 0.751
S 0.753 0.249 0.249

***

Entry 3:
Below is a relaxed structure of Zr9S2, with properties calculated at the PBEsol level.

Computed properties:
E, hartree per atom: -0.3277
Total magnetization, μB/atom: 0.000
ΔE_f (raw), eV per atom: -0.682
DOS at the Fermi energy, states/eV per atom: 0.98

Cell lengths 11.754, 11.754, 11.754 Å; angles 131.81, 131.81, 70.53 degrees
Positions (direct):
Zr 0.000 0.321 0.321
Zr 0.000 0.679 0.679
Zr 0.068 0.145 0.577
Zr 0.068 0.490 0.923
Zr 0.097 0.198 0.900
Zr 0.145 0.068 0.077
Zr 0.172 0.643 0.530
Zr 0.198 0.097 0.400
Zr 0.198 0.798 0.100
Zr 0.202 0.802 0.400
Zr 0.239 0.489 0.750
Zr 0.321 0.000 0.821
Zr 0.321 0.500 0.321
Zr 0.357 0.387 0.530
Zr 0.357 0.828 0.970
Zr 0.387 0.357 0.030
Zr 0.489 0.239 0.250
Zr 0.490 0.068 0.423
Zr 0.500 0.321 0.821
Zr 0.500 0.679 0.179
Zr 0.510 0.932 0.577
Zr 0.511 0.761 0.750
Zr 0.613 0.643 0.970
Zr 0.643 0.172 0.030
Zr 0.643 0.613 0.470
Zr 0.679 0.000 0.179
Zr 0.679 0.500 0.679
Zr 0.761 0.511 0.250
Zr 0.798 0.198 0.600
Zr 0.802 0.202 0.900
Zr 0.802 0.903 0.600
Zr 0.828 0.357 0.470
Zr 0.855 0.932 0.923
Zr 0.903 0.802 0.100
Zr 0.932 0.510 0.077
Zr 0.932 0.855 0.423
S 0.103 0.353 0.206
S 0.103 0.897 0.750
S 0.353 0.103 0.706
S 0.353 0.647 0.250
S 0.647 0.353 0.750
S 0.647 0.897 0.294
S 0.897 0.103 0.250
S 0.897 0.647 0.794

***

Entry 4:
Below is a relaxed structure of Zr2S, with properties calculated at the PBEsol level.

Computed properties:
E, hartree per atom: -0.3219
Total magnetization, μB/atom: 0.000
ΔE_f (raw), eV per atom: -1.237
DOS at the Fermi energy, states/eV per atom: 0.68

Cell lengths 12.197, 15.117, 3.505 Å; angles 90.00, 90.00, 90.00 degrees
Positions (direct):
Zr 0.034 0.110 0.000
Zr 0.075 0.750 0.500
Zr 0.086 0.582 0.000
Zr 0.127 0.420 0.500
Zr 0.157 0.975 0.500
Zr 0.201 0.205 0.500
Zr 0.299 0.705 0.000
Zr 0.343 0.475 0.000
Zr 0.373 0.920 0.000
Zr 0.414 0.082 0.500
Zr 0.425 0.250 0.000
Zr 0.466 0.610 0.500
Zr 0.534 0.390 0.500
Zr 0.575 0.750 0.000
Zr 0.586 0.918 0.500
Zr 0.627 0.080 0.000
Zr 0.657 0.525 0.000
Zr 0.701 0.295 0.000
Zr 0.799 0.795 0.500
Zr 0.843 0.025 0.500
Zr 0.873 0.580 0.500
Zr 0.914 0.418 0.000
Zr 0.925 0.250 0.500
Zr 0.966 0.890 0.000
S 0.077 0.292 0.000
S 0.180 0.848 0.000
S 0.246 0.580 0.500
S 0.254 0.080 0.000
S 0.320 0.348 0.500
S 0.423 0.792 0.500
S 0.577 0.208 0.500
S 0.680 0.652 0.500
S 0.746 0.920 0.000
S 0.754 0.420 0.500
S 0.820 0.152 0.000
S 0.923 0.708 0.000

***

Entry 5:
Below is a relaxed structure of Zr21S8, with properties calculated at the PBEsol level.

Computed properties:
E, hartree per atom: -0.3231
Total magnetization, μB/atom: 0.000
ΔE_f (raw), eV per atom: -1.002
DOS at the Fermi energy, states/eV per atom: 0.77

Cell lengths 12.672, 12.672, 12.672 Å; angles 91.09, 91.09, 164.12 degrees
Positions (direct):
Zr 0.000 0.000 0.000
Zr 0.034 0.273 0.307
Zr 0.084 0.547 0.632
Zr 0.190 0.396 0.586
Zr 0.195 0.800 0.995
Zr 0.200 0.195 0.394
Zr 0.273 0.966 0.239
Zr 0.364 0.455 0.820
Zr 0.396 0.810 0.206
Zr 0.453 0.084 0.537
Zr 0.455 0.636 0.091
Zr 0.545 0.364 0.909
Zr 0.547 0.916 0.463
Zr 0.604 0.190 0.794
Zr 0.636 0.545 0.180
Zr 0.727 0.034 0.761
Zr 0.800 0.805 0.606
Zr 0.805 0.200 0.005
Zr 0.810 0.604 0.414
Zr 0.916 0.453 0.368
Zr 0.966 0.727 0.693
S 0.068 0.132 0.200
S 0.132 0.932 0.065
S 0.206 0.646 0.852
S 0.354 0.206 0.559
S 0.646 0.794 0.441
S 0.794 0.354 0.148
S 0.868 0.068 0.935
S 0.932 0.868 0.800

***

Entry 6:
Below is a relaxed structure of Zr3S4, with properties calculated at the PBEsol level.

Computed properties:
E, hartree per atom: -0.2976
Total magnetization, μB/atom: 0.000
ΔE_f (raw), eV per atom: -1.697
DOS at the Fermi energy, states/eV per atom: 0.43

Cell lengths 7.303, 10.067, 3.594 Å; angles 90.00, 90.00, 90.00 degrees
Positions (direct):
Zr 0.000 0.000 0.000
Zr 0.250 0.250 0.500
Zr 0.250 0.750 0.500
Zr 0.500 0.500 0.000
Zr 0.750 0.250 0.500
Zr 0.750 0.750 0.500
S 0.000 0.263 0.000
S 0.000 0.737 0.000
S 0.243 0.500 0.500
S 0.257 0.000 0.500
S 0.500 0.237 0.000
S 0.500 0.763 0.000
S 0.743 0.000 0.500
S 0.757 0.500 0.500

***

Entry 7:
Below is a relaxed structure of Sc5Sb, with properties calculated at the PBEsol level.

Computed properties:
E, hartree per atom: -0.2415
Total magnetization, μB/atom: 0.000
ΔE_f (raw), eV per atom: -0.307
DOS at the Fermi energy, states/eV per atom: 1.42
E above lowest polymorph, eV/atom: 0.0431

Cell lengths 11.453, 3.316, 7.423 Å; angles 90.00, 104.68, 90.00 degrees
Positions (direct):
Sc 0.000 0.000 0.000
Sc 0.035 0.000 0.606
Sc 0.166 0.500 0.338
Sc 0.217 0.500 0.932
Sc 0.390 0.000 0.272
Sc 0.500 0.500 0.000
Sc 0.535 0.500 0.606
Sc 0.666 0.000 0.338
Sc 0.717 0.000 0.932
Sc 0.890 0.500 0.272
Sb 0.323 0.000 0.661
Sb 0.823 0.500 0.661

***

Entry 8:
Below is a relaxed structure of Sc8Sb, with properties calculated at the PBEsol level.

Computed properties:
E, hartree per atom: -0.2423
Total magnetization, μB/atom: 0.001
ΔE_f (raw), eV per atom: -0.214
DOS at the Fermi energy, states/eV per atom: 1.73

Cell lengths 7.205, 7.205, 7.205 Å; angles 95.21, 95.21, 144.92 degrees
Positions (direct):
Sc 0.000 0.335 0.335
Sc 0.000 0.665 0.665
Sc 0.335 0.000 0.335
Sc 0.337 0.337 0.674
Sc 0.337 0.663 0.000
Sc 0.663 0.337 0.000
Sc 0.663 0.663 0.326
Sc 0.665 0.000 0.665
Sb 0.000 0.000 0.000

***

> Which value of ΔE_f (raw) does entry 1 give?

-1.065 eV per atom

***

> The lowest E belongs to which entry?

Zr9S2

***

> Which of these has the lowest E?

Zr9S2

***

Repeat the seventh record exactly.
Below is a relaxed structure of Sc5Sb, with properties calculated at the PBEsol level.

Computed properties:
E, hartree per atom: -0.2415
Total magnetization, μB/atom: 0.000
ΔE_f (raw), eV per atom: -0.307
DOS at the Fermi energy, states/eV per atom: 1.42
E above lowest polymorph, eV/atom: 0.0431

Cell lengths 11.453, 3.316, 7.423 Å; angles 90.00, 104.68, 90.00 degrees
Positions (direct):
Sc 0.000 0.000 0.000
Sc 0.035 0.000 0.606
Sc 0.166 0.500 0.338
Sc 0.217 0.500 0.932
Sc 0.390 0.000 0.272
Sc 0.500 0.500 0.000
Sc 0.535 0.500 0.606
Sc 0.666 0.000 0.338
Sc 0.717 0.000 0.932
Sc 0.890 0.500 0.272
Sb 0.323 0.000 0.661
Sb 0.823 0.500 0.661